The following is a DFT calculation (GGA+U) of crystalline NpMn3O6 at its relaxed geometry.

a b c (Å): 5.4681 5.5871 8.1305
angles (deg): 90.00 90.22 90.00
Closest atoms and distances in Å follow each position.
Fractional positions:
Mn 0.9989 0.5404 0.2577  4 O 2.13-2.20
Mn 0.4989 0.9596 0.7577  4 O 2.13-2.20
Mn 0.5000 0.5000 0.0000  6 O 2.12-2.26
Mn 0.0000 0.0000 0.5000  6 O 2.12-2.26
Mn 0.5011 0.0404 0.2423  4 O 2.13-2.20
Mn 0.0011 0.4596 0.7423  4 O 2.13-2.20
Np 0.5000 0.5000 0.5000  6 O 2.07-2.15
Np 0.0000 0.0000 0.0000  6 O 2.07-2.15
O 0.1656 0.3120 0.0802  1 Np 2.07, 2 Mn 2.13-2.21
O 0.6656 0.1880 0.5802  1 Np 2.07, 2 Mn 2.13-2.21
O 0.1781 0.3257 0.4402  1 Np 2.07, 2 Mn 2.12-2.14
O 0.8344 0.6880 0.9198  1 Np 2.07, 2 Mn 2.13-2.21
O 0.3344 0.8120 0.4198  1 Np 2.07, 2 Mn 2.13-2.21
O 0.8712 0.9127 0.2424  3 Mn 2.15-2.26, 1 Np 2.15
O 0.1288 0.0873 0.7576  3 Mn 2.15-2.26, 1 Np 2.15
O 0.3712 0.5873 0.7424  3 Mn 2.15-2.26, 1 Np 2.15
O 0.3219 0.8257 0.0598  1 Np 2.07, 2 Mn 2.12-2.14
O 0.8219 0.6743 0.5598  1 Np 2.07, 2 Mn 2.12-2.14
O 0.6781 0.1743 0.9402  1 Np 2.07, 2 Mn 2.12-2.14
O 0.6288 0.4127 0.2576  3 Mn 2.15-2.26, 1 Np 2.15

Final energy   -8.629 eV per atom
ΔE to the lowest computed polymorph   0.0 meV/atom